Compound: Dy6Er3Th
Source: the Alexandria database
Functional: GGA-PBE
Structure: optimized geometry

The calculation puts the spin magnetization at 0.00 μB/cell. As for the formation energy: 0.29 eV/atom. The value obtained for the total energy is -45.8 eV/f.u.

Cell lengths 9.7555, 9.7555, 11.8115 Å; angles 90.00, 90.00, 120.00 degrees
With the nearest neighbours (Å) after each atom.
Space group R32 (No. 155, hexagonal axes)
Unique sites:
1 Dy 0.0000 0.3328 0.0000  1 Th 3.25, 2 Er 3.37
2 Dy 0.0000 0.6644 0.5000  3 Er 3.27-3.42
3 Er 0.0000 0.0000 0.2579  1 Er 2.86, 1 Th 3.05
4 Er 0.0000 0.0000 0.5000  2 Er 2.86
5 Th 0.0000 0.0000 0.0000  2 Er 3.05, 3 Dy 3.25